Entry 1:
A PBEsol-optimized structure of Zn2RuClF, computed with SCAN.

```
data_Zn2RuClF
_cell_length_a 4.419
_cell_length_b 4.419
_cell_length_c 4.307
_cell_angle_alpha 90.00
_cell_angle_beta 90.00
_cell_angle_gamma 90.00
_space_group_name_H-M_alt 'P 4/m m m'
_space_group_IT_number 123
_space_group_name_Hall '-P 4 2'
loop_
_atom_site_label
_atom_site_fract_x
_atom_site_fract_y
_atom_site_fract_z
Zn1 0.000 0.500 0.000
Ru1 0.000 0.000 0.500
Cl1 0.500 0.500 0.500
F1 0.000 0.000 0.000
```

Output
- Electronic total energy: -72.051 eV for the cell shown
- Raw formation energy: 0.265 eV/atom
- V: 84 Å³ per cell


Entry 2:
A PBEsol-optimized structure of SiS2ClF, computed with SCAN.

```
data_SiS2ClF
_cell_length_a 4.068
_cell_length_b 4.068
_cell_length_c 5.353
_cell_angle_alpha 90.00
_cell_angle_beta 90.00
_cell_angle_gamma 90.00
_space_group_name_H-M_alt 'P 4/m m m'
_space_group_IT_number 123
_space_group_name_Hall '-P 4 2'
loop_
_atom_site_label
_atom_site_fract_x
_atom_site_fract_y
_atom_site_fract_z
Si1 0.000 0.000 0.000
S1 0.000 0.500 0.500
Cl1 0.500 0.500 0.000
F1 0.500 0.500 0.500
```

Output
- Electronic total energy: -37.762 eV for the cell shown
- Raw formation energy: 0.605 eV/atom
- V: 89 Å³ per cell


Entry 3:
A PBEsol-optimized structure of Sb3Cl11F4, computed with SCAN.

```
data_Sb3Cl11F4
_cell_length_a 9.700
_cell_length_b 16.902
_cell_length_c 13.905
_cell_angle_alpha 90.00
_cell_angle_beta 118.77
_cell_angle_gamma 90.00
_space_group_name_H-M_alt 'P 1 21/c 1'
_space_group_IT_number 14
_space_group_name_Hall '-P 2ybc'
loop_
_atom_site_label
_atom_site_fract_x
_atom_site_fract_y
_atom_site_fract_z
Sb1 0.174 0.164 0.371
Sb2 0.194 0.684 0.692
Sb3 0.285 0.579 0.268
Cl1 0.050 0.572 0.608
Cl2 0.108 0.185 0.190
Cl3 0.162 0.152 0.533
Cl4 0.223 0.664 0.865
Cl5 0.237 0.575 0.088
Cl6 0.238 0.055 0.778
Cl7 0.289 0.612 0.431
Cl8 0.309 0.047 0.392
Cl9 0.376 0.244 0.940
Cl10 0.442 0.645 0.728
Cl11 0.444 0.081 0.157
F1 0.015 0.240 0.841
F2 0.040 0.599 0.197
F3 0.149 0.731 0.556
F4 0.284 0.703 0.249
```

Output
- Electronic total energy: -938.741 eV for the cell shown
- Raw formation energy: -1.166 eV/atom
- V: 1998 Å³ per cell


Entry 4:
A PBEsol-optimized structure of SbCl3F2, computed with SCAN.

```
data_SbCl3F2
_cell_length_a 13.313
_cell_length_b 13.313
_cell_length_c 7.095
_cell_angle_alpha 90.00
_cell_angle_beta 90.00
_cell_angle_gamma 90.00
_space_group_name_H-M_alt 'I 4'
_space_group_IT_number 79
_space_group_name_Hall 'I 4'
loop_
_atom_site_label
_atom_site_fract_x
_atom_site_fract_y
_atom_site_fract_z
Sb1 0.046 0.216 0.000
Cl1 0.042 0.205 0.675
Cl2 0.060 0.649 0.037
Cl3 0.200 0.294 0.033
F1 0.039 0.179 0.257
F2 0.077 0.881 0.983
```

Output
- Electronic total energy: -612.350 eV for the cell shown
- Raw formation energy: -1.378 eV/atom
- V: 1258 Å³ per cell


Entry 5:
A PBEsol-optimized structure of SbCl3F2, computed with SCAN.

```
data_SbCl3F2
_cell_length_a 13.077
_cell_length_b 13.077
_cell_length_c 7.143
_cell_angle_alpha 90.00
_cell_angle_beta 90.00
_cell_angle_gamma 90.00
_space_group_name_H-M_alt 'I -4'
_space_group_IT_number 82
_space_group_name_Hall 'I -4'
loop_
_atom_site_label
_atom_site_fract_x
_atom_site_fract_y
_atom_site_fract_z
Sb1 0.046 0.280 0.233
Cl1 0.041 0.314 0.916
Cl2 0.062 0.858 0.240
Cl3 0.199 0.798 0.755
F1 0.040 0.299 0.496
F2 0.078 0.620 0.248
```

Output
- Electronic total energy: -612.551 eV for the cell shown
- Raw formation energy: -1.382 eV/atom
- V: 1221 Å³ per cell


Entry 6:
A PBEsol-optimized structure of Sb4Cl13F7, computed with SCAN.

```
data_Sb4Cl13F7
_cell_length_a 7.340
_cell_length_b 10.014
_cell_length_c 10.090
_cell_angle_alpha 82.86
_cell_angle_beta 69.83
_cell_angle_gamma 69.66
_space_group_name_H-M_alt 'P 1'
_space_group_IT_number 1
_space_group_name_Hall 'P 1'
loop_
_atom_site_label
_atom_site_fract_x
_atom_site_fract_y
_atom_site_fract_z
Sb1 0.000 0.000 0.000
Sb2 0.093 0.470 0.337
Sb3 0.299 0.568 0.909
Sb4 0.847 0.903 0.427
Cl1 0.016 0.439 0.578
Cl2 0.141 0.035 0.762
Cl3 0.272 0.239 0.264
Cl4 0.410 0.644 0.678
Cl5 0.474 0.326 0.883
Cl6 0.525 0.623 0.987
Cl7 0.538 0.897 0.422
Cl8 0.695 0.981 0.999
Cl9 0.753 0.146 0.454
Cl10 0.777 0.487 0.323
Cl11 0.816 0.830 0.657
Cl12 0.875 0.232 0.078
Cl13 0.994 0.555 0.899
F1 0.108 0.781 0.970
F2 0.131 0.875 0.376
F3 0.153 0.539 0.129
F4 0.250 0.961 0.036
F5 0.331 0.514 0.318
F6 0.909 0.929 0.209
F7 0.958 0.692 0.364
```

Output
- Electronic total energy: -308.632 eV for the cell shown
- Raw formation energy: -1.296 eV/atom
- V: 653 Å³ per cell


Entry 7:
A PBEsol-optimized structure of Sr2SbClF, computed with SCAN.

```
data_Sr2SbClF
_cell_length_a 5.699
_cell_length_b 5.699
_cell_length_c 5.131
_cell_angle_alpha 90.00
_cell_angle_beta 90.00
_cell_angle_gamma 90.00
_space_group_name_H-M_alt 'P 4/m m m'
_space_group_IT_number 123
_space_group_name_Hall '-P 4 2'
loop_
_atom_site_label
_atom_site_fract_x
_atom_site_fract_y
_atom_site_fract_z
Sr1 0.000 0.500 0.000
Sb1 0.000 0.000 0.500
Cl1 0.000 0.000 0.000
F1 0.500 0.500 0.500
```

Output
- Electronic total energy: -98.226 eV for the cell shown
- Raw formation energy: -0.979 eV/atom
- V: 167 Å³ per cell


Entry 8:
A PBEsol-optimized structure of Sb2TeClF, computed with SCAN.

```
data_Sb2TeClF
_cell_length_a 4.871
_cell_length_b 4.871
_cell_length_c 4.983
_cell_angle_alpha 90.00
_cell_angle_beta 90.00
_cell_angle_gamma 90.00
_space_group_name_H-M_alt 'P 4/m m m'
_space_group_IT_number 123
_space_group_name_Hall '-P 4 2'
loop_
_atom_site_label
_atom_site_fract_x
_atom_site_fract_y
_atom_site_fract_z
Sb1 0.000 0.500 0.000
Te1 0.000 0.000 0.500
Cl1 0.500 0.500 0.500
F1 0.000 0.000 0.000
```

Output
- Electronic total energy: -122.827 eV for the cell shown
- Raw formation energy: 0.093 eV/atom
- V: 118 Å³ per cell


Entry 9:
A PBEsol-optimized structure of Sc3ClF, computed with SCAN.

```
data_Sc3ClF
_cell_length_a 4.486
_cell_length_b 4.486
_cell_length_c 4.486
_cell_angle_alpha 90.00
_cell_angle_beta 90.00
_cell_angle_gamma 90.00
_space_group_name_H-M_alt 'P m -3 m'
_space_group_IT_number 221
_space_group_name_Hall '-P 4 2 3'
loop_
_atom_site_label
_atom_site_fract_x
_atom_site_fract_y
_atom_site_fract_z
Sc1 0.000 0.000 0.500
Cl1 0.500 0.500 0.500
F1 0.000 0.000 0.000
```

Output
- Electronic total energy: -57.142 eV for the cell shown
- Raw formation energy: -0.583 eV/atom
- V: 90 Å³ per cell


Entry 10:
A PBEsol-optimized structure of ScCl3F, computed with SCAN.

```
data_ScCl3F
_cell_length_a 4.570
_cell_length_b 4.570
_cell_length_c 4.570
_cell_angle_alpha 90.00
_cell_angle_beta 90.00
_cell_angle_gamma 90.00
_space_group_name_H-M_alt 'P m -3 m'
_space_group_IT_number 221
_space_group_name_Hall '-P 4 2 3'
loop_
_atom_site_label
_atom_site_fract_x
_atom_site_fract_y
_atom_site_fract_z
Sc1 0.000 0.000 0.000
Cl1 0.000 0.500 0.500
F1 0.500 0.500 0.500
```

Output
- Electronic total energy: -44.080 eV for the cell shown
- Raw formation energy: -0.474 eV/atom
- V: 95 Å³ per cell